Record 1
20
Lattice="9.663 0.000 0.000 0.000 9.663 0.000 0.000 0.000 3.257" Properties=species:S:1:pos:R:3 comment="Ho2TlB2Rh5, relaxed, DFT PBE" volume_a3_per_atom=15.20 space_group=P4/mbm ef_ev_per_atom=-0.71 pbc="T T T"
Ho 1.694 3.137 0.000
Ho 3.137 7.969 0.000
Ho 6.526 1.694 0.000
Ho 7.969 6.526 0.000
Tl 0.000 0.000 0.000
Tl 4.832 4.832 0.000
B 1.171 6.003 0.000
B 3.660 1.171 0.000
B 6.003 8.492 0.000
B 8.492 3.660 0.000
Rh 0.000 4.832 1.628
Rh 0.685 7.458 1.628
Rh 2.205 0.685 1.628
Rh 2.627 5.517 1.628
Rh 4.146 2.627 1.628
Rh 4.832 0.000 1.628
Rh 5.517 7.037 1.628
Rh 7.037 4.146 1.628
Rh 7.458 8.978 1.628
Rh 8.978 2.205 1.628

***

Record 2
20
Lattice="9.782 0.000 0.000 0.000 9.782 0.000 0.000 0.000 3.238" Properties=species:S:1:pos:R:3 comment="Ho2TmB2Rh5, relaxed, DFT PBE" volume_a3_per_atom=15.49 space_group=P4/mbm ef_ev_per_atom=-0.83 pbc="T T T"
Ho 1.706 3.185 0.000
Ho 3.185 8.076 0.000
Ho 6.597 1.706 0.000
Ho 8.076 6.597 0.000
Tm 0.000 0.000 0.000
Tm 4.891 4.891 0.000
B 1.188 6.079 0.000
B 3.703 1.188 0.000
B 6.079 8.594 0.000
B 8.594 3.703 0.000
Rh 0.000 4.891 1.619
Rh 0.699 7.538 1.619
Rh 2.244 0.699 1.619
Rh 2.647 5.589 1.619
Rh 4.192 2.647 1.619
Rh 4.891 0.000 1.619
Rh 5.589 7.135 1.619
Rh 7.135 4.192 1.619
Rh 7.538 9.083 1.619
Rh 9.083 2.244 1.619

***

Record 3
9
Lattice="-3.022 3.022 3.872 3.022 -3.022 3.872 3.022 3.022 -3.872" Properties=species:S:1:pos:R:3 comment="Ho2Zn2BRh4, relaxed, DFT PBE" volume_a3_per_atom=15.71 space_group=I4/mmm ef_ev_per_atom=-0.70 pbc="T T T"
Ho 3.022 0.000 1.936
Ho 0.000 3.022 1.936
Zn 0.000 0.000 1.600
Zn 0.000 0.000 6.143
B 0.000 0.000 3.872
Rh 1.533 1.533 0.000
Rh 1.489 -1.489 3.872
Rh -1.489 1.489 3.872
Rh 1.489 1.489 3.872

***

Record 4
10
Lattice="-3.089 3.099 4.374 3.089 -3.099 4.374 3.089 3.099 -4.374" Properties=species:S:1:pos:R:3 comment="Ho2ZnBRh6, relaxed, DFT PBE" volume_a3_per_atom=16.75 space_group=Immm ef_ev_per_atom=-0.46 pbc="T T T"
Ho 0.000 0.000 2.187
Ho 0.000 0.000 6.562
Zn 0.000 3.099 0.000
B 3.089 0.000 0.000
Rh 1.657 1.433 0.000
Rh 3.089 0.000 2.025
Rh 4.521 1.433 0.000
Rh -1.432 1.666 4.374
Rh 0.000 3.099 2.350
Rh 1.432 1.666 4.374

***

Record 5
20
Lattice="9.498 0.000 0.000 0.000 9.498 0.000 0.000 0.000 3.175" Properties=species:S:1:pos:R:3 comment="Ho2ZnB2Rh5, relaxed, DFT PBE" volume_a3_per_atom=14.32 space_group=P4/mbm ef_ev_per_atom=-0.78 pbc="T T T"
Ho 1.669 3.079 0.000
Ho 3.079 7.828 0.000
Ho 6.418 1.669 0.000
Ho 7.828 6.418 0.000
Zn 0.000 0.000 0.000
Zn 4.749 4.749 0.000
B 1.178 5.926 0.000
B 3.571 1.178 0.000
B 5.926 8.320 0.000
B 8.320 3.571 0.000
Rh 0.000 4.749 1.587
Rh 0.661 7.411 1.587
Rh 2.087 0.661 1.587
Rh 2.662 5.410 1.587
Rh 4.088 2.662 1.587
Rh 4.749 0.000 1.587
Rh 5.410 6.836 1.587
Rh 6.836 4.088 1.587
Rh 7.411 8.836 1.587
Rh 8.836 2.087 1.587

***

Record 6
16
Lattice="5.917 0.000 0.000 0.000 4.235 0.000 0.000 0.000 9.627" Properties=species:S:1:pos:R:3 comment="HoBRu2, relaxed, DFT PBE" volume_a3_per_atom=15.08 space_group=Pnma ef_ev_per_atom=-0.47 pbc="T T T"
Ho 0.556 1.059 1.148
Ho 2.402 3.176 5.962
Ho 3.515 1.059 3.665
Ho 5.361 3.176 8.479
B 0.785 3.176 3.909
B 2.173 1.059 8.722
B 3.744 3.176 0.905
B 5.132 1.059 5.718
Ru 0.531 1.059 4.052
Ru 0.885 1.059 7.101
Ru 2.073 3.176 2.288
Ru 2.428 3.176 8.865
Ru 3.489 1.059 0.762
Ru 3.844 1.059 7.339
Ru 5.032 3.176 2.526
Ru 5.387 3.176 5.575

***

Record 7
28
Lattice="5.020 2.898 4.201 -5.020 2.898 4.201 0.000 -5.796 4.201" Properties=species:S:1:pos:R:3 comment="HoB3Ru3, relaxed, DFT PBE" volume_a3_per_atom=13.10 relative_energy_ev_per_atom=0.0164 space_group=R3 ef_ev_per_atom=-0.18 pbc="T T T"
Ho 0.000 0.000 0.000
Ho -2.336 -1.360 5.634
Ho -0.009 2.703 5.634
Ho 2.346 -1.343 5.634
B -0.117 -1.107 2.352
B -0.900 0.655 2.352
B -3.454 -0.370 8.051
B 1.017 0.452 2.352
B -1.781 -0.155 7.880
B 1.025 -1.464 7.880
B -1.384 -0.922 10.719
B 2.048 -2.807 8.051
B 0.756 1.620 7.880
B -0.106 1.659 10.719
B 1.490 -0.738 10.719
B 1.407 3.177 8.051
Ru -0.368 -2.736 3.734
Ru -2.186 1.687 3.734
Ru -3.023 1.364 6.681
Ru 0.000 0.000 4.235
Ru 0.331 -3.300 6.681
Ru -2.515 -1.765 9.276
Ru 0.000 0.000 6.833
Ru 2.554 1.050 3.734
Ru 0.000 0.000 9.530
Ru -0.271 3.061 9.276
Ru 2.692 1.936 6.681
Ru 2.786 -1.296 9.276

***

Record 8
24
Lattice="5.950 0.000 0.000 0.000 11.507 0.000 0.000 0.000 3.552" Properties=species:S:1:pos:R:3 comment="HoB4Ru, relaxed, DFT PBE" volume_a3_per_atom=10.13 space_group=Pbam ef_ev_per_atom=-0.64 pbc="T T T"
Ho 0.766 1.725 0.000
Ho 2.209 7.478 0.000
Ho 3.740 4.029 0.000
Ho 5.184 9.782 0.000
B 0.142 7.961 1.776
B 0.668 6.293 1.776
B 0.808 11.160 1.776
B 1.254 9.371 1.776
B 1.721 3.617 1.776
B 2.167 5.407 1.776
B 2.307 0.539 1.776
B 2.833 2.208 1.776
B 3.117 9.298 1.776
B 3.642 10.967 1.776
B 3.783 6.100 1.776
B 4.229 7.889 1.776
B 4.696 2.136 1.776
B 5.141 0.347 1.776
B 5.282 5.214 1.776
B 5.808 3.545 1.776
Ru 0.838 4.685 0.000
Ru 2.136 10.438 0.000
Ru 3.813 1.068 0.000
Ru 5.111 6.821 0.000

***

Record 9
7
Lattice="5.322 -1.839 0.000 5.322 1.839 0.000 -2.999 0.000 4.995" Properties=species:S:1:pos:R:3 comment="Ho2B3Ru2, relaxed, DFT PBE" volume_a3_per_atom=13.97 space_group=C2/m ef_ev_per_atom=-0.29 pbc="T T T"
Ho 0.497 0.000 1.373
Ho 7.147 0.000 3.623
B 3.867 0.000 0.656
B 3.822 0.000 2.498
B 3.777 0.000 4.339
Ru -0.622 0.000 3.974
Ru 8.266 0.000 1.022

***

Record 10
9
Lattice="0.000 4.588 4.798 2.808 0.000 4.798 2.808 4.588 0.000" Properties=species:S:1:pos:R:3 comment="Ho2B4Ru3, relaxed, DFT PBE" volume_a3_per_atom=13.74 space_group=Fmmm ef_ev_per_atom=-0.09 pbc="T T T"
Ho 2.808 4.588 1.515
Ho 2.808 4.588 8.082
B 2.808 2.623 3.208
B 2.808 2.623 6.389
B 2.808 6.553 3.208
B 2.808 6.553 6.389
Ru 1.404 2.294 0.000
Ru 1.404 2.294 4.798
Ru 2.808 4.588 4.798

***

Record 11
11
Lattice="-2.819 2.819 4.127 2.819 -2.819 4.127 2.819 2.819 -4.127" Properties=species:S:1:pos:R:3 comment="HoB4Ru6, relaxed, DFT PBE" volume_a3_per_atom=11.92 space_group=I-42m ef_ev_per_atom=-0.15 pbc="T T T"
Ho 0.000 0.000 0.000
B 2.001 2.001 -0.539
B 0.818 -0.818 4.666
B 0.818 0.818 3.588
B -0.818 0.818 4.666
Ru 2.819 0.000 0.000
Ru 1.069 -1.069 2.318
Ru -1.069 1.069 2.318
Ru 0.000 2.819 0.000
Ru 1.749 1.749 1.809
Ru 1.069 1.069 5.936

***

Record 12
6
Lattice="5.515 0.000 0.000 -2.757 4.776 0.000 0.000 0.000 3.021" Properties=species:S:1:pos:R:3 comment="HoB2Ru3, relaxed, DFT PBE" volume_a3_per_atom=13.26 space_group=P6/mmm ef_ev_per_atom=-0.47 pbc="T T T"
Ho 0.000 0.000 0.000
B 0.000 3.184 0.000
B 2.757 1.592 0.000
Ru -1.379 2.388 1.510
Ru 2.757 0.000 1.510
Ru 1.379 2.388 1.510

***

Record 13
14
Lattice="-1.576 3.912 6.749 1.576 -3.912 6.749 1.576 3.912 -6.749" Properties=species:S:1:pos:R:3 comment="Ho3B9Ru2, relaxed, DFT PBE" volume_a3_per_atom=11.89 space_group=Immm ef_ev_per_atom=-0.25 pbc="T T T"
Ho 0.000 0.000 0.000
Ho 0.000 0.000 3.645
Ho 0.000 0.000 9.853
B 1.576 1.409 -1.846
B 1.576 -1.953 4.968
B 1.576 1.409 1.846
B 0.000 1.959 1.781
B 0.000 3.912 0.000
B 1.576 1.953 4.968
B 0.000 2.503 4.903
B 0.000 5.865 1.781
B 0.000 2.503 8.595
Ru 1.576 2.538 0.000
Ru 0.000 1.374 6.749

***

Record 14
12
Lattice="2.128 -7.127 0.000 2.128 7.127 0.000 0.000 0.000 5.860" Properties=species:S:1:pos:R:3 comment="HoBRu4, relaxed, DFT PBE" volume_a3_per_atom=14.81 space_group=Cmcm ef_ev_per_atom=-0.17 pbc="T T T"
Ho 2.128 5.838 4.395
Ho 2.128 -5.838 1.465
B 2.128 1.509 4.395
B 2.128 -1.509 1.465
Ru 2.128 5.436 1.465
Ru 2.128 2.914 0.095
Ru 2.128 2.914 2.835
Ru 2.128 0.000 0.000
Ru 2.128 0.000 2.930
Ru 2.128 -2.914 3.025
Ru 2.128 -2.914 5.765
Ru 2.128 -5.436 4.395

***

Record 15
36
Lattice="-3.742 3.742 7.520 3.742 -3.742 7.520 3.742 3.742 -7.520" Properties=species:S:1:pos:R:3 comment="HoB4Ru4, relaxed, DFT PBE" volume_a3_per_atom=11.70 relative_energy_ev_per_atom=0.0000 space_group=I4_1/acd ef_ev_per_atom=-0.50 pbc="T T T"
Ho 3.742 1.871 -1.880
Ho 0.000 1.871 1.880
Ho 3.742 1.871 5.640
Ho 0.000 1.871 9.400
B 1.259 0.824 -0.652
B 1.048 -0.612 3.108
B 2.484 0.824 0.652
B 4.790 -0.612 4.412
B 4.790 0.612 3.108
B 2.484 -0.824 6.868
B 1.048 0.612 4.412
B 1.259 -0.824 8.173
B 2.484 4.566 -0.652
B 2.695 3.130 3.108
B 1.259 4.566 0.652
B -1.048 3.130 4.412
B -1.048 4.355 3.108
B 1.259 2.919 6.868
B 2.695 4.355 4.412
B 2.484 2.919 8.173
Ru 6.622 0.759 -0.950
Ru 2.630 2.734 -4.711
Ru 4.605 0.759 0.950
Ru 2.630 -1.008 4.711
Ru 2.630 1.008 2.810
Ru 0.863 2.984 -0.950
Ru 2.630 4.751 -2.810
Ru 2.879 2.984 0.950
Ru 0.863 0.759 6.570
Ru 1.113 -1.008 10.330
Ru 2.879 0.759 8.471
Ru 1.113 2.734 4.711
Ru 1.113 4.751 2.810
Ru -0.863 2.984 6.570
Ru 1.113 1.008 12.231
Ru -2.879 2.984 8.471

***

Record 16
4
Lattice="3.020 -1.937 0.000 3.020 1.937 0.000 -2.295 0.000 4.601" Properties=species:S:1:pos:R:3 comment="HoB2Ru, relaxed, DFT PBE" volume_a3_per_atom=13.46 relative_energy_ev_per_atom=0.3101 space_group=C2/m ef_ev_per_atom=-0.31 pbc="T T T"
Ho 0.000 0.000 0.000
B -0.323 0.000 2.770
B 4.069 0.000 1.831
Ru 1.873 0.000 2.300

***

Record 17
18
Lattice="5.367 0.000 0.000 0.000 5.367 0.000 0.000 0.000 7.345" Properties=species:S:1:pos:R:3 comment="HoB4Ru4, relaxed, DFT PBE" volume_a3_per_atom=11.75 relative_energy_ev_per_atom=0.0464 space_group=P4_2/nmc ef_ev_per_atom=-0.45 pbc="T T T"
Ho 1.342 4.025 1.836
Ho 4.025 1.342 5.508
B 0.419 1.342 0.731
B 1.342 0.419 4.404
B 1.342 2.264 4.404
B 2.264 1.342 0.731
B 3.102 4.025 6.613
B 4.025 3.102 2.941
B 4.025 4.948 2.941
B 4.948 4.025 6.613
Ru 0.026 4.025 4.485
Ru 1.342 2.710 6.532
Ru 1.342 5.340 6.532
Ru 2.657 4.025 4.485
Ru 2.710 1.342 2.860
Ru 4.025 0.026 0.812
Ru 4.025 2.657 0.812
Ru 5.340 1.342 2.860

***

Record 18
13
Lattice="-2.364 3.755 3.995 2.364 -3.755 3.995 2.364 3.755 -3.995" Properties=species:S:1:pos:R:3 comment="HoB6Ru6, relaxed, DFT PBE" volume_a3_per_atom=10.91 space_group=Immm ef_ev_per_atom=0.14 pbc="T T T"
Ho 0.000 0.000 0.000
B 1.182 1.877 -1.998
B 1.182 -1.877 1.998
B 2.364 1.764 0.000
B -1.182 1.877 1.998
B 1.182 1.877 1.998
B 0.000 1.991 3.995
Ru 2.364 0.000 1.486
Ru 0.000 2.492 0.000
Ru 0.000 0.000 2.731
Ru 0.000 0.000 5.260
Ru 0.000 5.017 0.000
Ru 0.000 3.755 2.510